The following is a PBE calculation of an optimized crystal structure of LiCdGe3, from the Alexandria database.

The formation energy comes out at 0.397 eV per atom. Its magnetic moment is 0.0 μB/cell. As for the energy above the most stable polymorph in this dataset: 0 meV/atom.

It has space group Pm-3m (No. 221), with a = 4.6821 Å, b = 4.6821 Å, c = 4.6821 Å, α = 90.00°, β = 90.00° and γ = 90.00°. Symmetry generates all atoms from Li at (0.0000, 0.0000, 0.0000), Cd at (0.5000, 0.5000, 0.5000) and Ge at (0.0000, 0.0000, 0.5000).


The following is a PBE calculation of an optimized crystal structure of Li6Cd12Ge, from the Alexandria database.

The formation energy comes out at -0.185 eV per atom. Its magnetic moment is 0.0 μB/cell.

It has space group R-3 (No. 148, hexagonal axes), with a = 10.2005 Å, b = 10.2005 Å, c = 12.5512 Å, α = 90.00°, β = 90.00° and γ = 120.00°. Symmetry generates all atoms from Li at (0.0373, 0.4424, 0.2032), Cd at (0.0351, 0.1904, 0.3102), Cd at (0.0596, 0.8395, 0.9144) and Ge at (0.0000, 0.0000, 0.5000).


The following is a PBE calculation of an optimized crystal structure of Li4Cd3Ge, from the Alexandria database.

The formation energy comes out at -0.256 eV per atom. Its magnetic moment is 0.0 μB/cell.

It has space group Fmmm (No. 69), with a = 6.5262 Å, b = 6.6383 Å, c = 12.9346 Å, α = 90.00°, β = 90.00° and γ = 90.00°. Symmetry generates all atoms from Li at (0.2500, 0.2500, 0.1188), Cd at (0.0000, 0.0000, 0.0000), Cd at (0.0000, 0.0000, 0.2529) and Ge at (0.0000, 0.0000, 0.5000).


The following is a PBE calculation of an optimized crystal structure of Li6Cd2Ge, from the Alexandria database.

The formation energy comes out at -0.238 eV per atom. Its magnetic moment is 0.0 μB/cell.

It has space group P6/mmm (No. 191), with a = 7.8918 Å, b = 7.8918 Å, c = 2.8189 Å, α = 90.00°, β = 90.00° and γ = 120.00°. Symmetry generates all atoms from Li at (0.0000, 0.3194, 0.0000), Cd at (0.3333, 0.6667, 0.5000) and Ge at (0.0000, 0.0000, 0.5000).


The following is a PBE calculation of an optimized crystal structure of Li8Cd6Ge, from the Alexandria database.

The formation energy comes out at -0.153 eV per atom. Its magnetic moment is 0.0 μB/cell.

It has space group R-3 (No. 148, hexagonal axes), with a = 8.0099 Å, b = 8.0099 Å, c = 15.2352 Å, α = 90.00°, β = 90.00° and γ = 120.00°. Symmetry generates all atoms from Li at (0.0000, 0.0000, 0.2465), Li at (0.0421, 0.7732, 0.9062), Cd at (0.0324, 0.7874, 0.4115) and Ge at (0.0000, 0.0000, 0.0000).


The following is a PBE calculation of an optimized crystal structure of Li3Cd4Ge, from the Alexandria database.

The formation energy comes out at -0.053 eV per atom. Its magnetic moment is 0.0 μB/cell. As for the energy above the most stable polymorph in this dataset: 75 meV/atom.

It has space group C2/m (No. 12), with a = 24.4924 Å, b = 3.0134 Å, c = 4.8552 Å, α = 90.00°, β = 101.26° and γ = 90.00°. Symmetry generates all atoms from Li at (0.0000, 0.0000, 0.0000), Li at (0.2242, 0.0000, 0.7245), Cd at (0.1019, 0.0000, 0.6059), Cd at (0.1702, 0.0000, 0.1726) and Ge at (0.0000, 0.5000, 0.5000).


The following is a PBE calculation of an optimized crystal structure of Li2CdGe2, from the Alexandria database.

The formation energy comes out at -0.168 eV per atom. Its magnetic moment is 0.0 μB/cell. As for the energy above the most stable polymorph in this dataset: 7 meV/atom.

It has space group C2/m (No. 12), with a = 10.0728 Å, b = 4.4822 Å, c = 9.2357 Å, α = 90.00°, β = 112.94° and γ = 90.00°. Symmetry generates all atoms from Li at (0.0173, 0.0000, 0.3171), Li at (0.1581, 0.0000, 0.0690), Cd at (0.2239, 0.5000, 0.3538), Ge at (0.0446, 0.5000, 0.8792) and Ge at (0.1138, 0.5000, 0.6262).


The following is a PBE calculation of an optimized crystal structure of Li5CdGe3, from the Alexandria database.

The formation energy comes out at -0.125 eV per atom. Its magnetic moment is 0.0 μB/cell.

It has space group C2/m (No. 12), with a = 9.5499 Å, b = 9.6628 Å, c = 8.6764 Å, α = 90.00°, β = 105.99° and γ = 90.00°. Symmetry generates all atoms from Li at (0.0000, 0.2324, 0.0000), Li at (0.0048, 0.2302, 0.3337), Li at (0.2441, 0.5000, 0.9144), Li at (0.2471, 0.0000, 0.4173), Cd at (0.2472, 0.5000, 0.2495), Ge at (0.0000, 0.0000, 0.5000), Ge at (0.0000, 0.5000, 0.0000), Ge at (0.0053, 0.5000, 0.6566) and Ge at (0.0056, 0.0000, 0.1628).


The following is a PBE calculation of an optimized crystal structure of Li6Cd2Ge3, from the Alexandria database.

The formation energy comes out at 0.004 eV per atom. Its magnetic moment is 0.0 μB/cell.

It has space group I4/mmm (No. 139), with a = 5.2251 Å, b = 5.2251 Å, c = 18.1234 Å, α = 90.00°, β = 90.00° and γ = 90.00°. Symmetry generates all atoms from Li at (0.0000, 0.0000, 0.2305), Li at (0.0000, 0.5000, 0.1291), Cd at (0.0000, 0.0000, 0.0775), Ge at (0.0000, 0.0000, 0.3683) and Ge at (0.0000, 0.0000, 0.5000).


The following is a PBE calculation of an optimized crystal structure of LiCd3Ge, from the Alexandria database.

The formation energy comes out at 0.373 eV per atom. Its magnetic moment is 0.0 μB/cell. As for the energy above the most stable polymorph in this dataset: 66 meV/atom.

It has space group Pm-3m (No. 221), with a = 4.8278 Å, b = 4.8278 Å, c = 4.8278 Å, α = 90.00°, β = 90.00° and γ = 90.00°. Symmetry generates all atoms from Li at (0.0000, 0.0000, 0.0000), Cd at (0.0000, 0.0000, 0.5000) and Ge at (0.5000, 0.5000, 0.5000).


The following is a PBE calculation of an optimized crystal structure of LiCdGe2, from the Alexandria database.

The formation energy comes out at -0.037 eV per atom. Its magnetic moment is 0.0 μB/cell.

It has space group P4/mmm (No. 123), with a = 4.2666 Å, b = 4.2666 Å, c = 4.1257 Å, α = 90.00°, β = 90.00° and γ = 90.00°. Symmetry generates all atoms from Li at (0.0000, 0.0000, 0.0000), Cd at (0.5000, 0.5000, 0.0000) and Ge at (0.0000, 0.5000, 0.5000).


The following is a PBE calculation of an optimized crystal structure of Li5Cd2Ge2, from the Alexandria database.

The formation energy comes out at -0.234 eV per atom. Its magnetic moment is 0.0 μB/cell.

It has space group Fmmm (No. 69), with a = 4.7582 Å, b = 9.1136 Å, c = 14.4335 Å, α = 90.00°, β = 90.00° and γ = 90.00°. Symmetry generates all atoms from Li at (0.0000, 0.0000, 0.0000), Li at (0.0000, 0.1643, 0.1680), Cd at (0.0000, 0.1634, 0.5000) and Ge at (0.0000, 0.0000, 0.3294).


The following is a PBE calculation of an optimized crystal structure of Li15Cd4Ge, from the Alexandria database.

The formation energy comes out at -0.197 eV per atom. Its magnetic moment is 0.0 μB/cell.

It has space group P4/mmm (No. 123), with a = 4.4380 Å, b = 4.4380 Å, c = 18.0851 Å, α = 90.00°, β = 90.00° and γ = 90.00°. Symmetry generates all atoms from Li at (0.0000, 0.0000, 0.0000), Li at (0.0000, 0.0000, 0.1882), Li at (0.0000, 0.0000, 0.3957), Li at (0.0000, 0.5000, 0.0835), Li at (0.0000, 0.5000, 0.2909), Li at (0.0000, 0.5000, 0.5000), Cd at (0.5000, 0.5000, 0.1866), Cd at (0.5000, 0.5000, 0.3959) and Ge at (0.5000, 0.5000, 0.0000).


The following is a PBE calculation of an optimized crystal structure of Li8Cd2Ge, from the Alexandria database.

The formation energy comes out at -0.154 eV per atom. Its magnetic moment is 0.0 μB/cell. As for the energy above the most stable polymorph in this dataset: 79 meV/atom.

It has space group C2/m (No. 12), with a = 7.4697 Å, b = 13.0221 Å, c = 4.5443 Å, α = 90.00°, β = 111.11° and γ = 90.00°. Symmetry generates all atoms from Li at (0.0000, 0.1992, 0.0000), Li at (0.1306, 0.5000, 0.8165), Li at (0.1883, 0.1026, 0.6160), Cd at (0.0000, 0.3142, 0.5000) and Ge at (0.0000, 0.0000, 0.0000).


The following is a PBE calculation of an optimized crystal structure of Li2Cd3Ge2, from the Alexandria database.

The formation energy comes out at -0.105 eV per atom. Its magnetic moment is 0.0 μB/cell.

It has space group C2/m (No. 12), with a = 9.6130 Å, b = 4.3484 Å, c = 6.9516 Å, α = 90.00°, β = 95.83° and γ = 90.00°. Symmetry generates all atoms from Li at (0.1135, 0.0000, 0.3572), Cd at (0.0000, 0.5000, 0.0000), Cd at (0.2024, 0.0000, 0.8453) and Ge at (0.0972, 0.5000, 0.6334).


The following is a PBE calculation of an optimized crystal structure of Li5CdGe, from the Alexandria database.

The formation energy comes out at -0.163 eV per atom. Its magnetic moment is 0.0 μB/cell. As for the energy above the most stable polymorph in this dataset: 68 meV/atom.

It has space group P4/mmm (No. 123), with a = 4.2703 Å, b = 4.2703 Å, c = 7.1796 Å, α = 90.00°, β = 90.00° and γ = 90.00°. Symmetry generates all atoms from Li at (0.0000, 0.0000, 0.0000), Li at (0.0000, 0.5000, 0.2293), Cd at (0.0000, 0.0000, 0.5000) and Ge at (0.5000, 0.5000, 0.0000).


The following is a PBE calculation of an optimized crystal structure of LiCd2Ge2, from the Alexandria database.

The formation energy comes out at 0.041 eV per atom. Its magnetic moment is 0.0 μB/cell. As for the energy above the most stable polymorph in this dataset: 34 meV/atom.

It has space group P4/mbm (No. 127), with a = 7.2000 Å, b = 7.2000 Å, c = 4.0772 Å, α = 90.00°, β = 90.00° and γ = 90.00°. Symmetry generates all atoms from Li at (0.0000, 0.0000, 0.0000), Cd at (0.1803, 0.3197, 0.5000) and Ge at (0.1260, 0.6260, 0.0000).


The following is a PBE calculation of an optimized crystal structure of LiCdGe2, from the Alexandria database.

The formation energy comes out at 0.157 eV per atom. Its magnetic moment is 0.0 μB/cell.

It has space group I-42d (No. 122), with a = 7.7209 Å, b = 7.7209 Å, c = 5.4817 Å, α = 90.00°, β = 90.00° and γ = 90.00°. Symmetry generates all atoms from Li at (0.0000, 0.0000, 0.0000), Cd at (0.0000, 0.0000, 0.5000) and Ge at (0.2466, 0.2500, 0.6250).


The following is a PBE calculation of an optimized crystal structure of LiCd3Ge, from the Alexandria database.

The formation energy comes out at 0.307 eV per atom. Its magnetic moment is 0.0 μB/cell. As for the energy above the most stable polymorph in this dataset: 0 meV/atom.

It has space group Pm-3m (No. 221), with a = 5.2859 Å, b = 5.2859 Å, c = 5.2859 Å, α = 90.00°, β = 90.00° and γ = 90.00°. Symmetry generates all atoms from Li at (0.0000, 0.0000, 0.0000), Cd at (0.0000, 0.5000, 0.5000) and Ge at (0.5000, 0.5000, 0.5000).


The following is a PBE calculation of an optimized crystal structure of Li2Cd6Ge, from the Alexandria database.

The formation energy comes out at -0.108 eV per atom. Its magnetic moment is 0.0 μB/cell.

It has space group C2/m (No. 12), with a = 9.4690 Å, b = 4.3807 Å, c = 9.2175 Å, α = 90.00°, β = 105.88° and γ = 90.00°. Symmetry generates all atoms from Li at (0.1554, 0.0000, 0.2064), Cd at (0.9997, 0.5000, 0.3257), Cd at (0.1705, 0.0000, 0.5591), Cd at (0.1715, 0.0000, 0.8878) and Ge at (0.0000, 0.5000, 0.0000).


The following is a PBE calculation of an optimized crystal structure of LiMgCdGe, from the Alexandria database.

The formation energy comes out at -0.160 eV per atom. Its magnetic moment is 0.0 μB/cell.

It has space group F-43m (No. 216), with a = 6.7082 Å, b = 6.7082 Å, c = 6.7082 Å, α = 90.00°, β = 90.00° and γ = 90.00°. Symmetry generates all atoms from Li at (0.0000, 0.0000, 0.0000), Mg at (0.0000, 0.0000, 0.5000), Cd at (0.2500, 0.2500, 0.2500) and Ge at (0.2500, 0.2500, 0.7500).


The following is a PBE calculation of an optimized crystal structure of NaLi2CdGe, from the Alexandria database.

The formation energy comes out at 0.099 eV per atom. Its magnetic moment is 0.0 μB/cell. As for the energy above the most stable polymorph in this dataset: 164 meV/atom.

It has space group P4/mmm (No. 123), with a = 4.9529 Å, b = 4.9529 Å, c = 5.4520 Å, α = 90.00°, β = 90.00° and γ = 90.00°. Symmetry generates all atoms from Na at (0.0000, 0.0000, 0.0000), Li at (0.0000, 0.5000, 0.5000), Cd at (0.5000, 0.5000, 0.0000) and Ge at (0.0000, 0.0000, 0.5000).


The following is a PBE calculation of an optimized crystal structure of NaLi2CdGe, from the Alexandria database.

The formation energy comes out at -0.066 eV per atom. Its magnetic moment is 0.0 μB/cell. As for the energy above the most stable polymorph in this dataset: 0 meV/atom.

It has space group P4/mmm (No. 123), with a = 4.9878 Å, b = 4.9878 Å, c = 5.2078 Å, α = 90.00°, β = 90.00° and γ = 90.00°. Symmetry generates all atoms from Na at (0.0000, 0.0000, 0.0000), Li at (0.0000, 0.5000, 0.5000), Cd at (0.5000, 0.5000, 0.0000) and Ge at (0.5000, 0.5000, 0.5000).


| no. | volume (Å³ per cell) |
| --- | --- |
| 1 | 102.6 |
| 2 | 1131.0 |
| 3 | 560.4 |
| 4 | 152.1 |
| 5 | 846.5 |
| 6 | 351.4 |
| 7 | 384.0 |
| 8 | 769.7 |
| 9 | 494.8 |
| 10 | 112.5 |
| 11 | 75.1 |
| 12 | 625.9 |
| 13 | 356.2 |
| 14 | 412.4 |
| 15 | 289.1 |
| 16 | 130.9 |
| 17 | 211.4 |
| 18 | 326.8 |
| 19 | 147.7 |
| 20 | 367.8 |
| 21 | 301.9 |
| 22 | 133.7 |
| 23 | 129.6 |